Record 1
First-principles (PBE) data for an optimized crystal structure of Sm8GaAu2, as listed in Alexandria via LeMat-Bulk.

```
Sm8GaAu2
1.0
5.216 0.000 0.000
0.000 7.014 0.104
-2.608 -2.894 8.719
Sm Ga Au
8 1 2
direct
0.409 0.538 0.817 Sm
0.669 0.984 0.337 Sm
0.802 0.672 0.603 Sm
0.975 0.222 0.950 Sm
0.198 0.328 0.397 Sm
0.331 0.016 0.663 Sm
0.591 0.462 0.183 Sm
0.025 0.778 0.050 Sm
0.500 0.000 0.000 Ga
0.821 0.270 0.643 Au
0.179 0.730 0.357 Au
```

Values from the calculation:
The formation energy is -0.3880 eV/atom. The total magnetization is 0.000 μB/f.u. Its space-group type is C2/m, No. 12. Its total energy is -4.691 eV/atom.

Record 2
First-principles (PBE) data for an optimized crystal structure of BiH2OsCl, as listed in Alexandria via LeMat-Bulk.

```
BiH2OsCl
1.0
-0.755 -1.177 -3.458
2.727 -7.326 1.897
-3.427 -0.994 1.086
H Os Bi Cl
2 1 1 1
direct
0.000 0.000 0.500 H
0.500 0.000 0.000 H
0.500 0.500 0.500 Os
0.000 0.500 0.000 Bi
0.000 0.000 0.000 Cl
```

Values from the calculation:
The total magnetization is 1.027 μB/f.u. Its space-group type is P4/mmm, No. 123. Its total energy is -3.533 eV/atom.

Record 3
First-principles (PBE) data for an optimized crystal structure of CdAuBr2, as listed in Alexandria via LeMat-Bulk.

```
CdAuBr2
1.0
-1.378 -1.846 -3.293
5.948 1.210 -3.168
1.437 -3.500 1.361
Au Br Cd
1 2 1
direct
0.000 0.500 0.500 Au
0.000 0.000 0.000 Br
0.500 0.500 0.000 Br
0.500 0.000 0.500 Cd
```

Values from the calculation:
The uncorrected formation energy is -5 kJ per mole of atoms. The total magnetization is 0.000 μB/f.u. Its space-group type is Pmmm, No. 47. Its total energy is -1.933 eV/atom.

Record 4
First-principles (PBE) data for an optimized crystal structure of Nd2EuBi, as listed in Alexandria via LeMat-Bulk.

```
Nd2EuBi
1.0
3.644 0.000 0.000
1.822 3.156 0.000
1.822 1.052 12.668
Eu Nd Bi
1 2 1
direct
0.500 0.500 0.500 Eu
0.085 0.085 0.746 Nd
0.915 0.915 0.254 Nd
0.000 0.000 0.000 Bi
```

Values from the calculation:
The formation energy is 0.0379 eV/atom. The total magnetization is 7.488 μB/f.u. Its space-group type is R-3m, No. 166. Its total energy is -5.885 eV/atom.

Record 5
First-principles (PBE) data for an optimized crystal structure of SmDyPdRu, as listed in Alexandria via LeMat-Bulk.

```
SmDyPdRu
1.0
-0.314 -4.755 -1.263
1.753 -3.475 3.025
-3.110 -2.985 2.390
Ru Pd Sm Dy
1 1 1 1
direct
0.000 0.000 0.000 Ru
0.500 0.500 0.500 Pd
0.750 0.750 0.750 Sm
0.250 0.250 0.250 Dy
```

Values from the calculation:
The formation energy is -0.5707 eV/atom. The total magnetization is 0.000 μB/f.u. Its space-group type is F-43m, No. 216. Its total energy is -6.518 eV/atom.

Record 6
First-principles (PBE) data for an optimized crystal structure of Ho2Al2GaRu5, as listed in Alexandria via LeMat-Bulk.

```
Ho2Al2GaRu5
1.0
-2.344 -0.643 2.278
-5.701 -4.148 -7.039
4.194 -8.852 1.819
Ho Al Ga Ru
4 4 2 10
direct
0.000 0.670 0.170 Ho
0.000 0.330 0.830 Ho
0.000 0.170 0.330 Ho
0.000 0.830 0.670 Ho
0.000 0.129 0.629 Al
0.000 0.871 0.371 Al
0.000 0.629 0.871 Al
0.000 0.371 0.129 Al
0.000 0.000 0.000 Ga
0.000 0.500 0.500 Ga
0.500 0.195 0.063 Ru
0.500 0.805 0.937 Ru
0.500 0.063 0.805 Ru
0.500 0.695 0.437 Ru
0.500 0.937 0.195 Ru
0.500 0.305 0.563 Ru
0.500 0.563 0.695 Ru
0.500 0.437 0.305 Ru
0.500 0.500 0.000 Ru
0.500 0.000 0.500 Ru
```

Values from the calculation:
The formation energy is -0.3887 eV/atom. The total magnetization is 1.451 μB/f.u. Its space-group type is P4/mbm, No. 127. Its total energy is -6.993 eV/atom.